Entry from Alexandria: VFeS2 after structural relaxation (GGA-PBE).

Values from the calculation:
**Space-group type**: R-3m
**Total magnetic moment**: 4.294 μB per formula unit
**ΔE_f (raw)**: -0.027 eV/atom

Lattice parameters (Å, degrees): 7.542 7.542 7.542 24.59 24.59 24.59
Positions (direct):
V: 0.000 0.000 0.000
Fe: 0.500 0.500 0.500
S: 0.106 0.106 0.106
S: 0.894 0.894 0.894